Record 1
LaNdGa5 (PBE, optimized geometry); size of the total moment = 0.01 μB per cell; uncorrected energy = -27.4 eV/f.u.
1.0
4.431 0.000 0.000
0.000 4.431 0.000
0.000 0.000 8.540
Ga Nd La
5 1 1
direct
0.500 0.000 0.745 Ga
0.000 0.500 0.255 Ga
0.000 0.500 0.745 Ga
0.500 0.000 0.255 Ga
0.500 0.500 0.000 Ga
0.000 0.000 0.500 Nd
0.000 0.000 0.000 La

***

Record 2
YZnPO (PBE, optimized geometry); size of the total moment = 0.00 μB per cell; uncorrected energy = -24.1 eV/f.u.
1.0
3.781 0.000 0.000
0.000 5.798 0.000
0.000 0.000 6.555
P Y Zn O
2 2 2 2
direct
0.500 0.765 0.817 P
0.500 0.235 0.317 P
0.000 0.952 0.094 Y
0.000 0.048 0.594 Y
0.500 0.396 0.967 Zn
0.500 0.604 0.467 Zn
0.000 0.253 0.876 O
0.000 0.747 0.376 O

***

Record 3
SrCdBAu (PBE, optimized geometry); polymorph energy (0 for the lowest one) = 0.0 meV/atom
1.0
-0.015 0.170 4.926
1.611 4.032 2.332
-3.191 2.926 2.355
Cd B Sr Au
1 1 1 1
direct
0.000 0.000 0.000 Cd
0.250 0.250 0.250 B
0.500 0.500 0.500 Sr
0.750 0.750 0.750 Au

***

Record 4
LiNbSeS (PBE, optimized geometry); size of the total moment = 0.01 μB per cell; polymorph energy (0 for the lowest one) = 0.0 meV/atom
1.0
3.445 0.000 0.000
-1.723 2.983 0.000
0.000 0.000 13.261
S Nb Se Li
2 2 2 2
direct
0.333 0.667 0.373 S
0.667 0.333 0.873 S
0.000 0.000 0.756 Nb
0.000 0.000 0.256 Nb
0.667 0.333 0.628 Se
0.333 0.667 0.128 Se
0.000 0.000 0.492 Li
0.000 0.000 0.992 Li

***

Record 5
Gd2HoNi9 (PBE, optimized geometry); size of the total moment = 0.64 μB per cell; uncorrected energy = -68.8 eV/f.u.
1.0
2.468 1.425 8.128
-2.468 1.425 8.128
0.000 -2.850 8.128
Gd Ni Ho
2 9 1
direct
0.139 0.139 0.139 Gd
0.861 0.861 0.861 Gd
0.500 0.500 0.500 Ni
0.582 0.081 0.582 Ni
0.919 0.418 0.418 Ni
0.667 0.667 0.667 Ni
0.333 0.333 0.333 Ni
0.081 0.582 0.582 Ni
0.582 0.582 0.081 Ni
0.418 0.919 0.418 Ni
0.418 0.418 0.919 Ni
0.000 0.000 0.000 Ho

***

Record 6
Hf3PbN2 (PBE, optimized geometry); size of the total moment = 0.00 μB per cell; uncorrected energy = -57.1 eV/f.u.
1.0
3.216 0.000 0.000
-1.608 2.785 0.000
0.000 0.000 20.489
N Hf Pb
4 6 2
direct
0.667 0.333 0.938 N
0.333 0.667 0.438 N
0.667 0.333 0.562 N
0.333 0.667 0.062 N
0.667 0.333 0.372 Hf
0.667 0.333 0.128 Hf
0.000 0.000 0.500 Hf
0.000 0.000 0.000 Hf
0.333 0.667 0.628 Hf
0.333 0.667 0.872 Hf
0.000 0.000 0.750 Pb
0.000 0.000 0.250 Pb

***

Record 7
Tm2Te2O5 (PBE, optimized geometry); size of the total moment = 0.00 μB per cell; polymorph energy (0 for the lowest one) = 0.0 meV/atom
1.0
-7.643 -2.711 -3.954
1.762 -3.243 -1.182
-1.066 -1.774 3.277
Tm O Te
2 5 2
direct
0.260 0.500 0.500 Tm
0.740 0.500 0.500 Tm
0.854 0.500 0.000 O
0.854 0.000 0.500 O
0.146 0.500 0.000 O
0.500 0.500 0.500 O
0.146 0.000 0.500 O
0.000 0.000 0.000 Te
0.500 0.000 0.000 Te

***

Record 8
LuBeO3 (PBE, optimized geometry); size of the total moment = 0.31 μB per cell; uncorrected energy = -35.6 eV/f.u.
1.0
-0.977 2.827 -3.785
3.784 1.824 -2.373
0.908 -1.839 -4.367
Be O Lu
2 6 2
direct
0.500 0.500 0.500 Be
0.000 0.000 0.000 Be
0.319 0.181 0.750 O
0.681 0.819 0.250 O
0.819 0.250 0.681 O
0.250 0.681 0.819 O
0.181 0.750 0.319 O
0.750 0.319 0.181 O
0.750 0.750 0.750 Lu
0.250 0.250 0.250 Lu

***

Record 9
LiGdGe (PBE, optimized geometry); size of the total moment = 0.02 μB per cell; polymorph energy (0 for the lowest one) = 303.9 meV/atom
1.0
-0.134 0.023 -6.978
-1.051 -5.952 3.490
-4.149 0.781 0.082
Gd Li Ge
3 3 3
direct
0.587 0.000 0.000 Gd
0.413 0.413 0.000 Gd
0.000 0.587 0.000 Gd
0.000 0.000 0.000 Li
0.667 0.333 0.500 Li
0.333 0.667 0.500 Li
0.255 0.000 0.500 Ge
0.745 0.745 0.500 Ge
0.000 0.255 0.500 Ge

***

Record 10
TbNdSi2Os (PBE, optimized geometry); size of the total moment = 0.21 μB per cell; polymorph energy (0 for the lowest one) = 0.0 meV/atom
1.0
-2.701 2.697 4.408
-4.480 -1.084 3.572
8.862 -4.639 2.125
Os Si Nd Tb
2 4 2 2
direct
0.730 0.730 0.877 Os
0.270 0.270 0.123 Os
0.503 0.503 0.630 Si
0.647 0.647 0.061 Si
0.353 0.353 0.939 Si
0.497 0.497 0.370 Si
0.190 0.190 0.609 Nd
0.810 0.810 0.391 Nd
0.005 0.005 0.176 Tb
0.995 0.995 0.824 Tb

***

Record 11
MgTlCoTc (PBE, optimized geometry); size of the total moment = 2.99 μB per cell; polymorph energy (0 for the lowest one) = 0.0 meV/atom
1.0
0.278 1.915 4.073
-3.047 3.078 1.257
-3.041 -1.003 3.175
Mg Co Tc Tl
1 1 1 1
direct
0.250 0.250 0.250 Mg
0.750 0.750 0.750 Co
0.500 0.500 0.500 Tc
0.000 0.000 0.000 Tl

***

Record 12
TbPrOs (PBE, optimized geometry); size of the total moment = 0.00 μB per cell; uncorrected energy = -18.2 eV/f.u.
1.0
0.000 3.392 3.392
3.392 0.000 3.392
3.392 3.392 0.000
Tb Os Pr
1 1 1
direct
0.750 0.750 0.750 Tb
0.250 0.250 0.250 Os
0.000 0.000 0.000 Pr